# BiI

A relaxed BiI crystal (GGA-PBE, Alexandria via LeMat-Bulk).

As for the raw total energy: -2.94 eV per atom. The calculation puts the density of states at the Fermi level at 0.20 states/eV per atom. For the excess energy over the best structure of this formula in the dataset, the calculation gives 0.069 eV/atom. The calculation puts the uncorrected formation energy at -220 meV/atom.

The structure belongs to space group P2_1/m (No. 11); the cell edges are 6.009, 4.538 and 6.958 Å and the angles 90.00°, 115.56° and 90.00°. The inequivalent atoms are Bi at (0.085, 0.250, 0.170) and I at (0.350, 0.750, 0.700).

# BiI

A relaxed BiI crystal (GGA-PBE, Alexandria via LeMat-Bulk).

As for the raw total energy: -2.81 eV per atom. The calculation puts the density of states at the Fermi level at 0.32 states/eV per atom. For the excess energy over the best structure of this formula in the dataset, the calculation gives 0.199 eV/atom. The calculation puts the uncorrected formation energy at -90 meV/atom.

The structure belongs to space group P-1 (No. 2); the cell edges are 3.783, 6.054 and 7.916 Å and the angles 70.24°, 89.94° and 72.32°. The inequivalent atoms are Bi at (0.039, 0.413, 0.206) and I at (0.312, 0.870, 0.268).

# BiI

A relaxed BiI crystal (GGA-PBE, Alexandria via LeMat-Bulk).

As for the raw total energy: -2.80 eV per atom. The calculation puts the density of states at the Fermi level at 0.52 states/eV per atom. For the excess energy over the best structure of this formula in the dataset, the calculation gives 0.206 eV/atom. The calculation puts the uncorrected formation energy at -82 meV/atom.

The structure belongs to space group P6_3/m (No. 176); the cell edges are 13.5745, 13.5745 and 4.0400 Å and the angles 90.00°, 90.00° and 120.00°. The inequivalent atoms are Bi at (0.0044, 0.1932, 0.2500) and I at (0.0078, 0.3759, 0.7500).

# Bi4I

A relaxed Bi4I crystal (GGA-PBE, Alexandria via LeMat-Bulk).

As for the raw total energy: -3.51 eV per atom. The calculation puts the density of states at the Fermi level at 0.41 states/eV per atom. For the excess energy over the best structure of this formula in the dataset, the calculation gives 0.000 eV/atom. The calculation puts the uncorrected formation energy at -94 meV/atom.

The structure belongs to space group C2/m (No. 12); the cell edges are 26.383, 4.519 and 13.445 Å and the angles 90.00°, 105.19° and 90.00°. The inequivalent atoms are Bi at (0.014, 0.000, 0.121), Bi at (0.035, 0.500, 0.628), Bi at (0.063, 0.500, 0.870), Bi at (0.080, 0.000, 0.380), Bi at (0.113, 0.000, 0.619), Bi at (0.130, 0.500, 0.133), Bi at (0.158, 0.500, 0.370), Bi at (0.210, 0.000, 0.128), I at (0.181, 0.000, 0.888) and I at (0.231, 0.500, 0.636).

Sequential density output: 6.52 6.91 5.19 8.27 g/cm³